Record 1
8
Lattice="4.817 0.000 0.000 2.409 4.172 0.000 2.409 1.391 7.923" Properties=species:S:1:pos:R:3 comment="LiSc2ZnHg4 PBE relaxed" ef_ev_per_atom=-0.332 magmom_total_mub_per_fu=0.00 sg="R-3m, No. 166" pbc="T T T"
Li 4.817 2.781 3.962
Sc 7.226 4.172 6.010
Sc 2.409 1.391 1.913
Zn 0.000 0.000 0.000
Hg 4.817 2.781 6.844
Hg 7.226 4.172 3.060
Hg 2.409 1.391 4.863
Hg 4.817 2.781 1.079

Record 2
6
Lattice="-2.608 4.615 2.953 0.947 5.703 -1.842 -4.491 3.127 -2.619" Properties=species:S:1:pos:R:3 comment="LiHg4Se PBE relaxed" raw_formation_energy_kj_per_mol_atoms=5.5 magmom_total_mub_per_fu=0.00 sg="F-43m, No. 216" pbc="T T T"
Li -4.614 10.084 -1.131
Hg -3.612 7.351 0.916
Hg -4.557 6.605 -1.879
Hg -1.829 7.897 -1.489
Hg -2.304 5.036 -0.565
Se 0.000 0.000 0.000

Record 3
10
Lattice="-7.607 1.222 1.334 -1.766 -3.770 -6.618 -0.194 -3.337 1.953" Properties=species:S:1:pos:R:3 comment="LiHg2Se2 PBE relaxed" raw_formation_energy_kj_per_mol_atoms=-16.9 e_above_lowest_polymorph_kj_per_mol_fu=59 magmom_total_mub_per_fu=0.00 sg="P4/mbm, No. 127" pbc="T T T"
Hg -4.371 -2.833 -5.276
Hg -7.743 -1.301 -2.992
Hg -5.002 0.285 -0.009
Hg -1.630 -1.247 -2.292
Se -2.799 -4.048 -3.358
Se -6.800 -3.859 -3.432
Se -6.768 -1.837 0.026
Se -2.767 -2.026 0.100
Li 0.000 0.000 0.000
Li -4.687 -1.274 -2.642

Record 4
10
Lattice="7.691 0.000 0.000 0.000 7.691 0.000 0.000 0.000 4.091" Properties=species:S:1:pos:R:3 comment="LiHg2Se2 PBE relaxed" raw_formation_energy_kj_per_mol_atoms=-28.7 e_above_lowest_polymorph_kj_per_mol_fu=0 magmom_total_mub_per_fu=0.00 sg="P4/mbm, No. 127" pbc="T T T"
Hg 0.998 4.843 2.046
Hg 4.843 6.694 2.046
Hg 6.694 2.848 2.046
Hg 2.848 0.998 2.046
Se 2.285 6.131 0.000
Se 6.131 5.406 0.000
Se 5.406 1.561 0.000
Se 1.561 2.285 0.000
Li 0.000 0.000 0.000
Li 3.846 3.846 0.000

Record 5
5
Lattice="4.853 0.000 0.000 0.000 4.853 0.000 0.000 0.000 4.853" Properties=species:S:1:pos:R:3 comment="Li3HgSe PBE relaxed" raw_formation_energy_kj_per_mol_atoms=-64.5 e_above_lowest_polymorph_kj_per_mol_fu=0 magmom_total_mub_per_fu=0.00 sg="Pm-3m, No. 221" pbc="T T T"
Hg 2.427 2.427 2.427
Se 0.000 0.000 0.000
Li 0.000 2.427 0.000
Li 0.000 0.000 2.427
Li 2.427 0.000 0.000

Record 6
16
Lattice="-2.051 -6.656 -1.642 6.894 -1.549 -2.333 2.099 -2.604 7.930" Properties=species:S:1:pos:R:3 comment="LiHg3Se4 PBE relaxed" raw_formation_energy_kj_per_mol_atoms=-29.7 magmom_total_mub_per_fu=0.00 sg="Pmn2_1, No. 31" pbc="T T T"
Li -0.891 -6.909 -2.032
Li 5.762 -5.911 1.204
Hg 4.708 -4.610 -2.759
Hg 3.065 -8.336 -1.214
Hg 1.803 -4.494 0.383
Hg 0.163 -8.213 1.931
Hg 2.852 -5.796 4.347
Hg 4.115 -9.638 2.752
Se 5.577 -2.144 -2.180
Se -0.167 -4.533 -1.444
Se 2.503 -1.967 0.940
Se 3.901 -5.879 -0.541
Se 6.501 -3.539 1.788
Se 0.827 -5.701 2.579
Se 4.911 -7.133 3.277
Se 3.591 -3.317 5.052

Record 7
6
Lattice="0.000 4.130 4.130 4.130 0.000 4.130 4.130 4.130 0.000" Properties=species:S:1:pos:R:3 comment="LiHgSe4 PBE relaxed" raw_formation_energy_kj_per_mol_atoms=10.7 magmom_total_mub_per_fu=0.00 sg="F-43m, No. 216" pbc="T T T"
Li 0.000 0.000 0.000
Hg 6.195 6.195 6.195
Se 3.112 5.148 5.148
Se 5.148 5.148 3.112
Se 5.148 3.112 5.148
Se 3.112 3.112 3.112

Record 8
18
Lattice="6.305 0.000 0.000 -3.152 6.646 -2.210 0.000 -0.029 8.855" Properties=species:S:1:pos:R:3 comment="Li5HgSe3 PBE relaxed" raw_formation_energy_kj_per_mol_atoms=-94.9 magmom_total_mub_per_fu=0.00 sg="C2/c, No. 15" pbc="T T T"
Li 1.506 -0.021 6.641
Li 1.439 4.456 6.573
Li 4.814 2.229 -0.039
Li 1.714 2.162 0.073
Li 1.661 4.403 2.257
Li 4.799 -0.007 2.214
Li -1.439 4.470 2.145
Li 4.591 2.147 4.500
Li 1.491 2.214 4.388
Li -1.661 4.389 6.684
Hg 4.622 -0.021 6.641
Hg 1.683 -0.007 2.214
Se 0.000 0.000 0.000
Se 3.367 2.376 2.197
Se 0.000 -0.014 4.428
Se -0.215 4.241 4.449
Se 2.938 2.362 6.624
Se 0.215 4.256 0.021

Record 9
10
Lattice="-1.655 -4.837 -4.453 4.971 2.084 -4.112 3.725 -3.696 2.630" Properties=species:S:1:pos:R:3 comment="Li2Hg2Se PBE relaxed" raw_formation_energy_kj_per_mol_atoms=-50.4 magmom_total_mub_per_fu=0.00 sg="P4/mbm, No. 127" pbc="T T T"
Hg 4.924 -1.284 -2.229
Hg 4.855 -3.384 -5.082
Hg 2.117 -5.164 -3.706
Hg 2.186 -3.064 -0.852
Se 0.000 0.000 0.000
Se 1.658 -1.376 -4.282
Li 3.417 0.268 -4.464
Li 2.280 -2.280 -6.434
Li -0.102 -3.021 -4.101
Li 1.035 -0.472 -2.130

Record 10
12
Lattice="6.581 0.000 0.000 0.000 6.312 0.000 -3.291 -3.156 6.304" Properties=species:S:1:pos:R:3 comment="Li3HgSe2 PBE relaxed" raw_formation_energy_kj_per_mol_atoms=-76.4 magmom_total_mub_per_fu=0.17 sg="Ibam, No. 72" pbc="T T T"
Li 3.291 1.578 0.000
Li 3.291 4.734 0.000
Li 3.291 -1.578 3.447
Li 0.000 1.578 2.857
Li 0.000 4.734 2.857
Li 3.291 1.578 3.447
Hg 0.000 3.156 0.000
Hg 0.000 0.000 0.000
Se 1.241 0.000 4.461
Se 4.531 0.000 1.843
Se -1.241 3.156 4.461
Se 2.050 3.156 1.843

Record 11
6
Lattice="-3.572 -3.689 1.642 -4.628 1.558 2.285 -4.655 -0.612 -2.650" Properties=species:S:1:pos:R:3 comment="Li4HgSe PBE relaxed" raw_formation_energy_kj_per_mol_atoms=-22.2 magmom_total_mub_per_fu=0.38 sg="F-43m, No. 216" pbc="T T T"
Li -6.607 -2.877 1.302
Li -7.150 -1.334 -0.849
Li -7.136 -0.246 1.624
Li -4.816 -1.028 0.479
Hg 0.000 0.000 0.000
Se -9.641 -2.057 0.958

Record 12
5
Lattice="-1.789 1.168 -5.028 -4.128 -3.518 0.651 -5.440 2.038 -0.559" Properties=species:S:1:pos:R:3 comment="LiHg2Se2 PBE relaxed" raw_formation_energy_kj_per_mol_atoms=-12.3 e_above_lowest_polymorph_kj_per_mol_fu=82 magmom_total_mub_per_fu=0.00 sg="I4/mmm, No. 139" pbc="T T T"
Hg -3.787 -0.102 -1.644
Hg -7.569 -0.211 -3.292
Se -5.093 1.015 -3.888
Se -6.263 -1.328 -1.048
Li 0.000 0.000 0.000

- Number 11 is which compound?
  Li4HgSe